[1]
# PuH8PtRh2

A relaxed structure of PuH8PtRh2 (PBE, Alexandria).

- total magnetic moment (μB/f.u.) = 5.56
- SG = No. 148
- total energy (eV per atom) = -5.267

abc: 4.739 4.739 6.199
angles: 67.53 67.53 60.00
Last column: magnetic moment on the atom in μB.
Fractional positions:
H (0.363, 0.725, 0.827)  0.00
H (0.915, 0.637, 0.173)  0.00
H (0.637, 0.275, 0.173)  0.00
H (0.184, 0.184, 0.447)  -0.01
H (0.275, 0.915, 0.173)  0.00
H (0.725, 0.085, 0.827)  0.00
H (0.085, 0.363, 0.827)  0.00
H (0.816, 0.816, 0.553)  -0.01
Pt (0.000, 0.000, 0.000)  0.01
Pu (0.500, 0.500, 0.500)  5.26
Rh (0.717, 0.717, 0.848)  0.07
Rh (0.283, 0.283, 0.152)  0.07

[2]
# Ca3Sm2TlTe6

A relaxed structure of Ca3Sm2TlTe6 (PBE, Alexandria).

- total magnetic moment (μB/f.u.) = 0.00
- raw formation energy (meV/atom) = -1369.5
- SG = No. 12

abc: 4.501 9.208 10.102
angles: 102.00 102.87 90.00
Fractional positions:
Ca (0.161, 0.837, 0.322)
Ca (0.500, 0.500, 0.000)
Ca (0.839, 0.163, 0.678)
Tl (0.500, 0.000, 0.000)
Te (0.674, 0.095, 0.348)
Te (0.004, 0.268, 0.008)
Te (0.996, 0.732, 0.992)
Te (0.668, 0.586, 0.336)
Te (0.326, 0.905, 0.652)
Te (0.332, 0.414, 0.664)
Sm (0.166, 0.336, 0.332)
Sm (0.834, 0.664, 0.668)

[3]
# NaThSn3

A relaxed structure of NaThSn3 (PBE, Alexandria).

- total magnetic moment (μB/f.u.) = 0.00
- SG = No. 57
- energy of formation from the pure elements (eV/atom) = -0.31

abc: 6.292 6.346 14.263
angles: 90.00 90.00 90.00
Fractional positions:
Sn (0.778, 0.250, 0.107)
Sn (0.250, 0.000, 0.499)
Sn (0.750, 0.000, 0.501)
Sn (0.493, 0.250, 0.275)
Sn (0.007, 0.750, 0.275)
Sn (0.750, 0.500, 0.501)
Sn (0.993, 0.250, 0.725)
Sn (0.507, 0.750, 0.725)
Sn (0.278, 0.250, 0.893)
Sn (0.250, 0.500, 0.499)
Sn (0.222, 0.750, 0.893)
Sn (0.722, 0.750, 0.107)
Na (0.250, 0.000, 0.097)
Na (0.750, 0.500, 0.903)
Na (0.750, 0.000, 0.903)
Na (0.250, 0.500, 0.097)
Th (0.996, 0.250, 0.323)
Th (0.504, 0.750, 0.323)
Th (0.496, 0.250, 0.677)
Th (0.004, 0.750, 0.677)